## Ca2MgAg7 (PBE)

Data for crystalline Ca2MgAg7 at its relaxed geometry.

Its volume is 1045 Å³ per cell. The formation energy comes out at 0.18 eV per atom.

The space group is Fm-3m (No. 225) and the conventional cell measures 10.147, 10.147 and 10.147 Å, with angles of 90.00, 90.00 and 90.00 degrees. The inequivalent atoms are Ca at (0.250, 0.250, 0.250), Mg at (0.000, 0.000, 0.000), Ag at (0.000, 0.000, 0.245) and Ag at (0.000, 0.000, 0.500).